No. 1
PaCu3Se6 after structural relaxation. Source: Alexandria, functional GGA-PBE.

Unit cell a=4.022 b=11.041 c=10.056 alpha=112.51 beta=90.00 gamma=90.00
Atoms (fractional coordinates):
Cu  0.750  0.167  0.113
Cu  0.750  0.640  0.498
Cu  0.250  0.360  0.502
Cu  0.250  0.505  0.130
Cu  0.250  0.833  0.887
Cu  0.750  0.495  0.870
Se  0.750  0.367  0.038
Se  0.750  0.911  0.069
Se  0.250  0.633  0.962
Se  0.250  0.165  0.278
Se  0.750  0.483  0.614
Se  0.750  0.835  0.722
Se  0.250  0.089  0.931
Se  0.250  0.937  0.565
Se  0.250  0.291  0.707
Se  0.250  0.517  0.386
Se  0.750  0.063  0.435
Se  0.750  0.709  0.293
Pa  0.250  0.876  0.252
Pa  0.750  0.124  0.748

total magnetic moment: 0.0 μB/cell
DFT total energy: -4.6982 eV per atom
formation energy (no corrections): -0.429 eV per atom
crystal system: monoclinic
space group: P2_1/m

=====

No. 2
PaCuSe3 after structural relaxation. Source: Alexandria, functional GGA-PBE.

Unit cell a=4.158 b=6.357 c=10.908 alpha=90.00 beta=100.99 gamma=90.00
Atoms (fractional coordinates):
Se  0.566  0.303  0.132
Se  0.434  0.803  0.868
Se  0.882  0.292  0.764
Se  0.775  0.759  0.550
Se  0.225  0.259  0.450
Se  0.118  0.792  0.236
Cu  0.882  0.902  0.765
Cu  0.118  0.402  0.235
Pa  0.338  0.539  0.676
Pa  0.662  0.039  0.324

total magnetic moment: 0.0 μB/cell
DFT total energy: -5.7448 eV per atom
polymorph energy (0 for the lowest one): 0.033 eV per atom
formation energy (no corrections): -0.936 eV per atom
crystal system: orthorhombic
space group: Cmc2_1

=====

No. 3
PaCuSe6 after structural relaxation. Source: Alexandria, functional GGA-PBE.

Unit cell a=5.715 b=5.715 c=8.252 alpha=63.96 beta=63.96 gamma=94.79
Atoms (fractional coordinates):
Se  0.650  0.650  0.087
Se  0.272  0.907  0.657
Se  0.728  0.093  0.343
Se  0.093  0.728  0.343
Se  0.907  0.272  0.657
Se  0.350  0.350  0.913
Pa  0.500  0.500  0.500
Cu  0.000  0.000  0.000

total magnetic moment: 0.0 μB/cell
DFT total energy: -4.7427 eV per atom
formation energy (no corrections): -0.430 eV per atom
crystal system: monoclinic
space group: C2/m

=====

No. 4
PaCu2Se3 after structural relaxation. Source: Alexandria, functional GGA-PBE.

Unit cell a=4.068 b=7.341 c=10.610 alpha=109.83 beta=90.00 gamma=90.00
Atoms (fractional coordinates):
Cu  0.250  0.838  0.101
Cu  0.750  0.162  0.899
Cu  0.750  0.594  0.587
Cu  0.250  0.406  0.413
Se  0.250  0.046  0.332
Se  0.750  0.954  0.668
Se  0.250  0.273  0.020
Se  0.750  0.727  0.980
Se  0.750  0.532  0.340
Se  0.250  0.468  0.660
Pa  0.250  0.848  0.821
Pa  0.750  0.152  0.179

total magnetic moment: 0.0 μB/cell
DFT total energy: -5.4132 eV per atom
formation energy (no corrections): -0.723 eV per atom
crystal system: monoclinic
space group: P2_1/m

=====

No. 5
Pa6Cu3Se14 after structural relaxation. Source: Alexandria, functional GGA-PBE.

Unit cell a=5.928 b=10.156 c=10.156 alpha=120.00 beta=90.00 gamma=90.00
Last column: magnetic moment on the atom in μB.
Atoms (fractional coordinates):
Se  0.002  0.155  0.898  -0.04
Se  0.235  0.931  0.443  -0.03
Se  0.502  0.591  0.822  -0.04
Se  0.732  0.770  0.186  -0.04
Se  0.502  0.231  0.409  -0.04
Se  0.732  0.416  0.230  -0.04
Se  0.732  0.814  0.584  -0.04
Se  0.002  0.102  0.257  -0.04
Se  0.002  0.743  0.845  -0.04
Se  0.235  0.512  0.069  -0.03
Se  0.235  0.557  0.488  -0.03
Se  0.478  0.000  0.000  -0.03
Se  0.973  0.333  0.667  -0.03
Se  0.502  0.178  0.769  -0.04
Pa  0.251  0.892  0.709  0.84
Pa  0.746  0.518  0.557  0.84
Pa  0.251  0.818  0.108  0.84
Pa  0.746  0.443  0.961  0.84
Pa  0.251  0.291  0.182  0.84
Pa  0.746  0.039  0.482  0.84
Cu  0.885  0.000  0.000  -0.02
Cu  0.222  0.667  0.333  -0.02
Cu  0.381  0.333  0.667  -0.02

total magnetic moment: 5.0 μB/cell
DFT total energy: -6.2629 eV per atom
formation energy (no corrections): -1.130 eV per atom
crystal system: trigonal
space group: P3

=====

No. 6
PaCu3Se4 after structural relaxation. Source: Alexandria, functional GGA-PBE.

Unit cell a=5.971 b=9.733 c=5.901 alpha=90.00 beta=90.00 gamma=90.00
Atoms (fractional coordinates):
Cu  0.515  0.000  0.129
Cu  0.511  0.743  0.637
Cu  0.011  0.243  0.363
Cu  0.511  0.257  0.637
Cu  0.015  0.500  0.871
Cu  0.011  0.757  0.363
Se  0.389  0.000  0.742
Se  0.896  0.273  0.751
Se  0.889  0.500  0.258
Se  0.896  0.727  0.751
Se  0.905  0.000  0.225
Se  0.396  0.773  0.249
Se  0.405  0.500  0.775
Se  0.396  0.227  0.249
Pa  0.862  0.000  0.718
Pa  0.362  0.500  0.282

total magnetic moment: 0.0 μB/cell
DFT total energy: -5.0553 eV per atom
formation energy (no corrections): -0.590 eV per atom
crystal system: orthorhombic
space group: Pmn2_1

=====

No. 7
PaCuSe4 after structural relaxation. Source: Alexandria, functional GGA-PBE.

Unit cell a=6.509 b=8.250 c=7.791 alpha=128.79 beta=90.00 gamma=90.00
Atoms (fractional coordinates):
Pa  0.000  0.500  0.500
Pa  0.500  0.000  0.500
Se  0.231  0.850  0.686
Se  0.269  0.350  0.686
Se  0.243  0.276  0.147
Se  0.731  0.650  0.314
Se  0.257  0.776  0.147
Se  0.743  0.224  0.853
Se  0.769  0.150  0.314
Se  0.757  0.724  0.853
Cu  0.000  0.000  0.000
Cu  0.500  0.500  0.000

total magnetic moment: 0.0 μB/cell
DFT total energy: -5.2088 eV per atom
formation energy (no corrections): -0.620 eV per atom
crystal system: monoclinic
space group: P2_1/c

=====

No. 8
PaCu2Se4 after structural relaxation. Source: Alexandria, functional GGA-PBE.

Unit cell a=7.634 b=7.634 c=7.634 alpha=117.72 beta=109.33 gamma=101.77
Atoms (fractional coordinates):
Pa  0.117  0.117  0.000
Pa  0.133  0.633  0.500
Se  0.815  0.134  0.682
Se  0.923  0.661  0.738
Se  0.328  0.566  0.239
Se  0.798  0.617  0.182
Se  0.452  0.133  0.318
Se  0.923  0.184  0.262
Se  0.435  0.617  0.818
Se  0.327  0.089  0.761
Cu  0.125  0.374  0.749
Cu  0.625  0.376  0.250
Cu  0.625  0.375  0.750
Cu  0.625  0.875  0.250

total magnetic moment: 0.0 μB/cell
DFT total energy: -5.1486 eV per atom
polymorph energy (0 for the lowest one): 0.020 eV per atom
formation energy (no corrections): -0.631 eV per atom
crystal system: orthorhombic
space group: I2_12_12_1

=====

No. 9
Pa3Cu4Se12 after structural relaxation. Source: Alexandria, functional GGA-PBE.

Unit cell a=8.413 b=8.413 c=8.413 alpha=109.47 beta=109.47 gamma=109.47
Atoms (fractional coordinates):
Se  0.226  0.313  0.538
Se  0.226  0.687  0.913
Se  0.087  0.774  0.313
Se  0.313  0.538  0.226
Se  0.687  0.462  0.774
Se  0.687  0.913  0.226
Se  0.538  0.226  0.313
Se  0.462  0.774  0.687
Se  0.774  0.313  0.087
Se  0.774  0.687  0.462
Se  0.913  0.226  0.687
Se  0.313  0.087  0.774
Pa  0.000  0.500  0.500
Pa  0.500  0.500  0.000
Pa  0.500  0.000  0.500
Cu  0.000  0.500  0.000
Cu  0.500  0.500  0.500
Cu  0.000  0.000  0.500
Cu  0.500  0.000  0.000

total magnetic moment: 0.0 μB/cell
DFT total energy: -5.1326 eV per atom
formation energy (no corrections): -0.570 eV per atom
crystal system: cubic
space group: Im-3

=====

No. 10
Pa3CuSe6 after structural relaxation. Source: Alexandria, functional GGA-PBE.

Unit cell a=6.707 b=8.792 c=8.792 alpha=100.63 beta=90.00 gamma=90.00
Last column: magnetic moment on the atom in μB.
Atoms (fractional coordinates):
Se  0.672  0.229  0.771  -0.03
Se  0.178  0.372  0.299  -0.03
Se  0.206  0.091  0.552  -0.03
Se  0.706  0.909  0.448  -0.03
Se  0.706  0.552  0.091  -0.03
Se  0.206  0.448  0.909  -0.03
Se  0.678  0.628  0.701  -0.03
Se  0.170  0.036  0.964  -0.03
Se  0.670  0.964  0.036  -0.03
Se  0.678  0.299  0.372  -0.03
Se  0.172  0.771  0.229  -0.03
Se  0.178  0.701  0.628  -0.03
Cu  0.042  0.208  0.792  -0.01
Cu  0.542  0.792  0.208  -0.01
Pa  0.377  0.395  0.605  1.04
Pa  0.978  0.732  0.931  1.02
Pa  0.478  0.931  0.732  1.02
Pa  0.478  0.268  0.069  1.02
Pa  0.978  0.069  0.268  1.02
Pa  0.877  0.605  0.395  1.04

total magnetic moment: 6.8 μB/cell
DFT total energy: -6.5064 eV per atom
formation energy (no corrections): -1.157 eV per atom
crystal system: orthorhombic
space group: Cmc2_1

=====

No. 11
Sm2PaCuSe5 after structural relaxation. Source: Alexandria, functional GGA-PBE.

Unit cell a=3.956 b=8.935 c=12.534 alpha=90.00 beta=90.00 gamma=102.79
Last column: magnetic moment on the atom in μB.
Atoms (fractional coordinates):
Cu  0.555  0.109  0.921  0.00
Cu  0.445  0.891  0.421  0.00
Se  0.345  0.690  0.019  -0.01
Se  0.688  0.376  0.857  -0.02
Se  0.982  0.963  0.520  -0.02
Se  0.655  0.310  0.519  -0.01
Se  0.497  0.994  0.747  0.00
Se  0.503  0.006  0.247  0.00
Se  0.312  0.624  0.357  -0.02
Se  0.018  0.037  0.020  -0.02
Se  0.305  0.611  0.693  -0.02
Se  0.695  0.389  0.193  -0.02
Sm  0.119  0.238  0.695  0.01
Sm  0.893  0.785  0.847  0.02
Sm  0.107  0.215  0.347  0.02
Sm  0.881  0.762  0.195  0.01
Pa  0.820  0.640  0.525  1.03
Pa  0.180  0.360  0.025  1.03

total magnetic moment: 2.4 μB/cell
DFT total energy: -5.9057 eV per atom
formation energy (no corrections): -1.411 eV per atom
crystal system: orthorhombic
space group: Cmc2_1

=====

No. 12
SrPa2CuSe8 after structural relaxation. Source: Alexandria, functional GGA-PBE.

Unit cell a=6.182 b=6.182 c=8.755 alpha=90.00 beta=90.00 gamma=120.00
Atoms (fractional coordinates):
Sr  0.000  0.000  0.500
Se  0.825  0.175  0.824
Se  0.175  0.350  0.176
Se  0.333  0.667  0.575
Se  0.825  0.650  0.824
Se  0.667  0.333  0.425
Se  0.175  0.825  0.176
Se  0.350  0.175  0.824
Se  0.650  0.825  0.176
Cu  0.000  0.000  0.000
Pa  0.333  0.667  0.876
Pa  0.667  0.333  0.124

total magnetic moment: 0.0 μB/cell
DFT total energy: -5.3225 eV per atom
formation energy (no corrections): -0.935 eV per atom
crystal system: trigonal
space group: P-3m1